# 1
! ZrBeCdPt GGA-PBE optimized geometry; values from VASP
! space group: No. 216
! excess energy over the best structure of this formula in the dataset: 71.0 meV/atom
! calculated total energy: -5.11 eV per atom
&SYSTEM
  ibrav = 0, nat = 4, ntyp = 4
/
ATOMIC_SPECIES
Cd 112.41 Cd.upf
Be 9.01 Be.upf
Zr 91.22 Zr.upf
Pt 195.08 Pt.upf
ATOMIC_POSITIONS crystal
Cd 0.0000 0.0000 0.0000
Be 0.7500 0.7500 0.7500
Zr 0.2500 0.2500 0.2500
Pt 0.5000 0.5000 0.5000
CELL_PARAMETERS angstrom
0.0000 3.2322 3.2322
3.2322 0.0000 3.2322
3.2322 3.2322 0.0000

---

# 2
! Rb2Be6Cd GGA-PBE optimized geometry; values from VASP
! space group: No. 12
! calculated total energy: -2.45 eV per atom
&SYSTEM
  ibrav = 0, nat = 9, ntyp = 3
/
ATOMIC_SPECIES
Be 9.01 Be.upf
Cd 112.41 Cd.upf
Rb 85.47 Rb.upf
ATOMIC_POSITIONS crystal
Be 0.0797 0.0797 0.1843
Be 0.7916 0.7916 0.5585
Be 0.6454 0.6454 0.3083
Be 0.9203 0.9203 0.8157
Be 0.3546 0.3546 0.6917
Be 0.2084 0.2084 0.4415
Cd 0.5000 0.5000 0.0000
Rb 0.3656 0.3656 0.2612
Rb 0.6344 0.6344 0.7388
CELL_PARAMETERS angstrom
-5.7689 3.2661 1.5276
-4.8786 1.1540 4.5987
8.0537 4.4636 0.7352

---

# 3
! Be2CdRe GGA-PBE optimized geometry; values from VASP
! space group: No. 216
! calculated total energy: -4.35 eV per atom
&SYSTEM
  ibrav = 0, nat = 4, ntyp = 3
/
ATOMIC_SPECIES
Cd 112.41 Cd.upf
Be 9.01 Be.upf
Re 186.21 Re.upf
ATOMIC_POSITIONS crystal
Cd 0.7500 0.7500 0.7500
Be 0.2500 0.2500 0.2500
Be 0.5000 0.5000 0.5000
Re 0.0000 0.0000 0.0000
CELL_PARAMETERS angstrom
-2.5966 -2.9597 -1.6221
-2.7438 -2.0452 2.5342
-4.1753 0.7740 -0.3182

---

# 4
! BeCd2Re GGA-PBE optimized geometry; values from VASP
! space group: No. 216
! calculated total energy: -3.67 eV per atom
&SYSTEM
  ibrav = 0, nat = 4, ntyp = 3
/
ATOMIC_SPECIES
Cd 112.41 Cd.upf
Re 186.21 Re.upf
Be 9.01 Be.upf
ATOMIC_POSITIONS crystal
Cd 0.7500 0.7500 0.7500
Cd 0.0000 0.0000 0.0000
Re 0.2500 0.2500 0.2500
Be 0.5000 0.5000 0.5000
CELL_PARAMETERS angstrom
0.0000 3.1784 3.1784
3.1784 0.0000 3.1784
3.1784 3.1784 0.0000

---

# 5
! BeCdReTc GGA-PBE optimized geometry; values from VASP
! space group: No. 216
! excess energy over the best structure of this formula in the dataset: 0.0 meV/atom
! calculated total energy: -6.46 eV per atom
&SYSTEM
  ibrav = 0, nat = 4, ntyp = 4
/
ATOMIC_SPECIES
Cd 112.41 Cd.upf
Re 186.21 Re.upf
Tc 98.00 Tc.upf
Be 9.01 Be.upf
ATOMIC_POSITIONS crystal
Cd 0.0000 0.0000 0.0000
Re 0.5000 0.5000 0.5000
Tc 0.2500 0.2500 0.2500
Be 0.7500 0.7500 0.7500
CELL_PARAMETERS angstrom
0.0000 3.0719 3.0719
3.0719 0.0000 3.0719
3.0719 3.0719 0.0000

---

# 6
! BeCdS2 GGA-PBE optimized geometry; values from VASP
! space group: No. 115
! calculated total energy: -3.98 eV per atom
&SYSTEM
  ibrav = 0, nat = 4, ntyp = 3
/
ATOMIC_SPECIES
Cd 112.41 Cd.upf
Be 9.01 Be.upf
S 32.06 S.upf
ATOMIC_POSITIONS crystal
Cd 0.5000 0.5000 0.0000
Be 0.0000 0.0000 0.5000
S 0.5000 0.0000 0.3037
S 0.0000 0.5000 0.6963
CELL_PARAMETERS angstrom
3.7166 0.0000 0.0000
0.0000 3.7166 0.0000
0.0000 0.0000 5.6423

---

# 7
! Be2CdSb GGA-PBE optimized geometry; values from VASP
! space group: No. 216
! excess energy over the best structure of this formula in the dataset: 415.8 meV/atom
! calculated total energy: -2.27 eV per atom
&SYSTEM
  ibrav = 0, nat = 4, ntyp = 3
/
ATOMIC_SPECIES
Be 9.01 Be.upf
Sb 121.76 Sb.upf
Cd 112.41 Cd.upf
ATOMIC_POSITIONS crystal
Be 0.0000 0.0000 0.0000
Be 0.7500 0.7500 0.7500
Sb 0.5000 0.5000 0.5000
Cd 0.2500 0.2500 0.2500
CELL_PARAMETERS angstrom
0.4060 -3.9046 2.5706
-3.3865 -1.1792 3.0265
-2.7588 -3.6906 -0.8873

---

# 8
! Be2CdSb GGA-PBE optimized geometry; values from VASP
! space group: No. 5
! excess energy over the best structure of this formula in the dataset: 0.0 meV/atom
! calculated total energy: -2.69 eV per atom
&SYSTEM
  ibrav = 0, nat = 8, ntyp = 3
/
ATOMIC_SPECIES
Be 9.01 Be.upf
Sb 121.76 Sb.upf
Cd 112.41 Cd.upf
ATOMIC_POSITIONS crystal
Be 0.4048 0.4652 0.6111
Be 0.7432 0.1826 0.1304
Be 0.5348 0.5952 0.3889
Be 0.8174 0.2568 0.8696
Sb 0.3689 0.0793 0.2523
Sb 0.9207 0.6311 0.7477
Cd 0.9442 0.6721 0.2639
Cd 0.3279 0.0558 0.7361
CELL_PARAMETERS angstrom
3.8815 -2.9996 0.0000
3.8815 2.9996 0.0000
-3.0765 0.0000 6.2275

---

# 9
! BeCdSb2 GGA-PBE optimized geometry; values from VASP
! space group: No. 216
! calculated total energy: -2.62 eV per atom
&SYSTEM
  ibrav = 0, nat = 4, ntyp = 3
/
ATOMIC_SPECIES
Sb 121.76 Sb.upf
Cd 112.41 Cd.upf
Be 9.01 Be.upf
ATOMIC_POSITIONS crystal
Sb 0.0000 0.0000 0.0000
Sb 0.7500 0.7500 0.7500
Cd 0.2500 0.2500 0.2500
Be 0.5000 0.5000 0.5000
CELL_PARAMETERS angstrom
1.2668 0.0993 4.9013
-1.5479 3.8223 2.9380
-3.5277 -0.7985 3.5433

---

# 10
! BeCd2Sb GGA-PBE optimized geometry; values from VASP
! space group: No. 216
! calculated total energy: -1.91 eV per atom
&SYSTEM
  ibrav = 0, nat = 4, ntyp = 3
/
ATOMIC_SPECIES
Cd 112.41 Cd.upf
Be 9.01 Be.upf
Sb 121.76 Sb.upf
ATOMIC_POSITIONS crystal
Cd 0.0000 0.0000 0.0000
Cd 0.7500 0.7500 0.7500
Be 0.2500 0.2500 0.2500
Sb 0.5000 0.5000 0.5000
CELL_PARAMETERS angstrom
0.0000 3.4908 3.4908
3.4908 0.0000 3.4908
3.4908 3.4908 0.0000

---

# 11
! ScBe2Cd GGA-PBE optimized geometry; values from VASP
! space group: No. 216
! calculated total energy: -3.50 eV per atom
&SYSTEM
  ibrav = 0, nat = 4, ntyp = 3
/
ATOMIC_SPECIES
Sc 44.96 Sc.upf
Be 9.01 Be.upf
Cd 112.41 Cd.upf
ATOMIC_POSITIONS crystal
Sc 0.0000 0.0000 0.0000
Be 0.5000 0.5000 0.5000
Be 0.7500 0.7500 0.7500
Cd 0.2500 0.2500 0.2500
CELL_PARAMETERS angstrom
2.2065 1.2739 3.6031
-2.2065 1.2739 3.6031
0.0000 -2.5478 3.6031

---

# 12
! Sc2BeCd GGA-PBE optimized geometry; values from VASP
! space group: No. 216
! calculated total energy: -4.09 eV per atom
&SYSTEM
  ibrav = 0, nat = 4, ntyp = 3
/
ATOMIC_SPECIES
Sc 44.96 Sc.upf
Cd 112.41 Cd.upf
Be 9.01 Be.upf
ATOMIC_POSITIONS crystal
Sc 0.7500 0.7500 0.7500
Sc 0.0000 0.0000 0.0000
Cd 0.2500 0.2500 0.2500
Be 0.5000 0.5000 0.5000
CELL_PARAMETERS angstrom
0.0000 3.3595 3.3595
3.3595 0.0000 3.3595
3.3595 3.3595 0.0000

---

# 13
! BeCdSe2 GGA-PBE optimized geometry; values from VASP
! space group: No. 115
! calculated total energy: -3.54 eV per atom
&SYSTEM
  ibrav = 0, nat = 4, ntyp = 3
/
ATOMIC_SPECIES
Se 78.96 Se.upf
Cd 112.41 Cd.upf
Be 9.01 Be.upf
ATOMIC_POSITIONS crystal
Se 0.0000 0.5000 0.7996
Se 0.5000 0.0000 0.2004
Cd 0.0000 0.0000 0.5000
Be 0.5000 0.5000 0.0000
CELL_PARAMETERS angstrom
-0.8308 1.6017 3.4885
-3.0433 -2.4502 0.4002
3.5251 -3.9453 2.6510

---

# 14
! SmBeCd GGA-PBE optimized geometry; values from VASP
! space group: No. 216
! excess energy over the best structure of this formula in the dataset: 0.0 meV/atom
! calculated total energy: -3.04 eV per atom
&SYSTEM
  ibrav = 0, nat = 3, ntyp = 3
/
ATOMIC_SPECIES
Sm 150.36 Sm.upf
Cd 112.41 Cd.upf
Be 9.01 Be.upf
ATOMIC_POSITIONS crystal
Sm 0.7500 0.7500 0.7500
Cd 0.2500 0.2500 0.2500
Be 0.0000 0.0000 0.0000
CELL_PARAMETERS angstrom
0.0000 3.2239 3.2239
3.2239 0.0000 3.2239
3.2239 3.2239 0.0000

---

# 15
! BeCdSn2 GGA-PBE optimized geometry; values from VASP
! space group: No. 216
! calculated total energy: -2.65 eV per atom
&SYSTEM
  ibrav = 0, nat = 4, ntyp = 3
/
ATOMIC_SPECIES
Be 9.01 Be.upf
Cd 112.41 Cd.upf
Sn 118.71 Sn.upf
ATOMIC_POSITIONS crystal
Be 0.5000 0.5000 0.5000
Cd 0.2500 0.2500 0.2500
Sn 0.7500 0.7500 0.7500
Sn 0.0000 0.0000 0.0000
CELL_PARAMETERS angstrom
0.0000 3.5679 3.5679
3.5679 0.0000 3.5679
3.5679 3.5679 0.0000